# LiTeOs2 (SCAN, single point on PBEsol structure)
# **Formation energy (no corrections)**: 0.42 eV/atom
# **Electronic total energy**: -181.70 eV per cell
data_LiTeOs2
_space_group_name_H-M_alt 'P 4 m m'
_space_group_IT_number 99
_cell_length_a 2.9102
_cell_length_b 2.9102
_cell_length_c 8.1157
_cell_angle_alpha 90.00
_cell_angle_beta 90.00
_cell_angle_gamma 90.00
loop_
_space_group_symop_operation_xyz
'x,y,z'
'-y,x,z'
'-x,-y,z'
'y,-x,z'
'-x,y,z'
'y,x,z'
'x,-y,z'
'-y,-x,z'
loop_
_atom_site_label
_atom_site_fract_x
_atom_site_fract_y
_atom_site_fract_z
Li1 0.0000 0.0000 0.0000
Te1 0.5000 0.5000 0.6917
Os1 0.0000 0.0000 0.4222
Os2 0.5000 0.5000 0.2322


# TaCS2 (SCAN, single point on PBEsol structure)
# **Formation energy (no corrections)**: 1.17 eV/atom
# **Electronic total energy**: -273.84 eV per cell
data_TaCS2
_space_group_name_H-M_alt 'R -3 m'
_space_group_IT_number 166
_space_group_name_Hall '-R 3 2"'
_cell_length_a 2.9904
_cell_length_b 2.9904
_cell_length_c 21.3997
_cell_angle_alpha 90.00
_cell_angle_beta 90.00
_cell_angle_gamma 120.00
loop_
_atom_site_label
_atom_site_fract_x
_atom_site_fract_y
_atom_site_fract_z
Ta1 0.0000 0.0000 0.0000
C1 0.0000 0.0000 0.5000
S1 0.0000 0.0000 0.1105


# Li3Pt (SCAN, single point on PBEsol structure)
# **Excess energy over the best structure of this formula in the dataset**: 0.038 eV/atom
# **Energy of formation from the pure elements**: -0.45 eV/atom
# **Electronic total energy**: -158.33 eV per cell
data_Li3Pt
_space_group_name_H-M_alt 'C m m m'
_space_group_IT_number 65
_space_group_name_Hall '-C 2 2'
_cell_length_a 5.2619
_cell_length_b 7.3098
_cell_length_c 2.8217
_cell_angle_alpha 90.00
_cell_angle_beta 90.00
_cell_angle_gamma 90.00
loop_
_atom_site_label
_atom_site_fract_x
_atom_site_fract_y
_atom_site_fract_z
Li1 0.0000 0.0000 0.0000
Li2 0.2500 0.2500 0.5000
Pt1 0.0000 0.5000 0.0000


# NiB2Te (SCAN, single point on PBEsol structure)
# **Formation energy (no corrections)**: 0.49 eV/atom
# **Electronic total energy**: -265.36 eV per cell
data_NiB2Te
_space_group_name_H-M_alt 'I -4 2 d'
_space_group_IT_number 122
_space_group_name_Hall 'I -4 2bw'
_cell_length_a 3.7859
_cell_length_b 3.7859
_cell_length_c 13.9537
_cell_angle_alpha 90.00
_cell_angle_beta 90.00
_cell_angle_gamma 90.00
loop_
_atom_site_label
_atom_site_fract_x
_atom_site_fract_y
_atom_site_fract_z
Ni1 0.0000 0.0000 0.0000
B1 0.0471 0.2500 0.1250
Te1 0.0000 0.0000 0.5000


# La2Re2Si2C (SCAN, single point on PBEsol structure)
# **Formation energy (no corrections)**: -0.59 eV/atom
# **Electronic total energy**: -525.33 eV per cell
data_La2Re2Si2C
_space_group_name_H-M_alt 'C 1 2/m 1'
_space_group_IT_number 12
_cell_length_a 11.2014
_cell_length_b 4.0683
_cell_length_c 7.2849
_cell_angle_alpha 90.00
_cell_angle_beta 128.75
_cell_angle_gamma 90.00
loop_
_space_group_symop_operation_xyz
'x,y,z'
'-x,-y,-z'
'-x,y,-z'
'x,-y,z'
'x+1/2,y+1/2,z'
'-x+1/2,-y+1/2,-z'
'-x+1/2,y+1/2,-z'
'x+1/2,-y+1/2,z'
loop_
_atom_site_label
_atom_site_fract_x
_atom_site_fract_y
_atom_site_fract_z
La1 0.0736 0.0000 0.3042
Re1 0.2032 0.5000 0.0843
Si1 0.1487 0.5000 0.7019
C1 0.0000 0.5000 0.0000


# SrPAu (SCAN, single point on PBEsol structure)
# **Energy of formation from the pure elements**: -1.09 eV/atom
# **Electronic total energy**: -105.11 eV per cell
data_SrPAu
_space_group_name_H-M_alt 'P -6 m 2'
_space_group_IT_number 187
_space_group_name_Hall 'P -6 2'
_cell_length_a 4.2544
_cell_length_b 4.2544
_cell_length_c 4.3143
_cell_angle_alpha 90.00
_cell_angle_beta 90.00
_cell_angle_gamma 120.00
loop_
_atom_site_label
_atom_site_fract_x
_atom_site_fract_y
_atom_site_fract_z
Sr1 0.0000 0.0000 0.0000
P1 0.6667 0.3333 0.5000
Au1 0.3333 0.6667 0.5000


# AsIrOs2 (SCAN, single point on PBEsol structure)
# **Energy of formation from the pure elements**: 0.34 eV/atom
# **Electronic total energy**: -233.71 eV per cell
data_AsIrOs2
_space_group_name_H-M_alt 'P 1 2/m 1'
_space_group_IT_number 10
_cell_length_a 2.8215
_cell_length_b 3.9629
_cell_length_c 5.2845
_cell_angle_alpha 90.00
_cell_angle_beta 104.27
_cell_angle_gamma 90.00
loop_
_space_group_symop_operation_xyz
'x,y,z'
'-x,-y,-z'
'-x,y,-z'
'x,-y,z'
loop_
_atom_site_label
_atom_site_fract_x
_atom_site_fract_y
_atom_site_fract_z
As1 0.0000 0.0000 0.0000
Ir1 0.0000 0.0000 0.5000
Os1 0.3722 0.5000 0.2441


# LaPW2 (SCAN, single point on PBEsol structure)
# **Excess energy over the best structure of this formula in the dataset**: 0.298 eV/atom
# **Energy of formation from the pure elements**: 0.60 eV/atom
# **Electronic total energy**: -571.45 eV per cell
data_LaPW2
_space_group_name_H-M_alt 'R -3 m'
_space_group_IT_number 166
_space_group_name_Hall '-R 3 2"'
_cell_length_a 3.0019
_cell_length_b 3.0019
_cell_length_c 27.4233
_cell_angle_alpha 90.00
_cell_angle_beta 90.00
_cell_angle_gamma 120.00
loop_
_atom_site_label
_atom_site_fract_x
_atom_site_fract_y
_atom_site_fract_z
La1 0.0000 0.0000 0.0000
P1 0.0000 0.0000 0.5000
W1 0.0000 0.0000 0.2309


# KCrCCl2 (SCAN, single point on PBEsol structure)
# **Formation energy (no corrections)**: 0.92 eV/atom
# **Electronic total energy**: -48.19 eV per cell
data_KCrCCl2
_space_group_name_H-M_alt 'P 4/m m m'
_space_group_IT_number 123
_space_group_name_Hall '-P 4 2'
_cell_length_a 4.6955
_cell_length_b 4.6955
_cell_length_c 5.0696
_cell_angle_alpha 90.00
_cell_angle_beta 90.00
_cell_angle_gamma 90.00
loop_
_atom_site_label
_atom_site_fract_x
_atom_site_fract_y
_atom_site_fract_z
K1 0.0000 0.0000 0.0000
Cr1 0.5000 0.5000 0.0000
C1 0.0000 0.0000 0.5000
Cl1 0.0000 0.5000 0.5000


# GaGeBi2Ir (SCAN, single point on PBEsol structure)
# **Energy of formation from the pure elements**: 0.86 eV/atom
# **Electronic total energy**: -259.39 eV per cell
data_GaGeBi2Ir
_space_group_name_H-M_alt 'P 4/m m m'
_space_group_IT_number 123
_space_group_name_Hall '-P 4 2'
_cell_length_a 5.4759
_cell_length_b 5.4759
_cell_length_c 4.5448
_cell_angle_alpha 90.00
_cell_angle_beta 90.00
_cell_angle_gamma 90.00
loop_
_atom_site_label
_atom_site_fract_x
_atom_site_fract_y
_atom_site_fract_z
Ga1 0.0000 0.0000 0.0000
Ge1 0.5000 0.5000 0.5000
Bi1 0.0000 0.5000 0.5000
Ir1 0.5000 0.5000 0.0000


# ScCuBr2 (SCAN, single point on PBEsol structure)
# **Formation energy (no corrections)**: -0.40 eV/atom
# **Excess energy over the best structure of this formula in the dataset**: 0.368 eV/atom
# **Electronic total energy**: -139.90 eV per cell
data_ScCuBr2
_space_group_name_H-M_alt 'C 1 2/m 1'
_space_group_IT_number 12
_cell_length_a 6.5554
_cell_length_b 8.3743
_cell_length_c 3.5003
_cell_angle_alpha 90.00
_cell_angle_beta 119.50
_cell_angle_gamma 90.00
loop_
_space_group_symop_operation_xyz
'x,y,z'
'-x,-y,-z'
'-x,y,-z'
'x,-y,z'
'x+1/2,y+1/2,z'
'-x+1/2,-y+1/2,-z'
'-x+1/2,y+1/2,-z'
'x+1/2,-y+1/2,z'
loop_
_atom_site_label
_atom_site_fract_x
_atom_site_fract_y
_atom_site_fract_z
Sc1 0.0000 0.0000 0.0000
Cu1 0.0000 0.5000 0.0000
Br1 0.2500 0.2500 0.0000


# Fe2SiMo (SCAN, single point on PBEsol structure)
# **Formation energy (no corrections)**: -0.14 eV/atom
# **Electronic total energy**: -81.73 eV per cell
data_Fe2SiMo
_space_group_name_H-M_alt 'P m m m'
_space_group_IT_number 47
_cell_length_a 3.2292
_cell_length_b 3.8439
_cell_length_c 3.9372
_cell_angle_alpha 90.00
_cell_angle_beta 90.00
_cell_angle_gamma 90.00
loop_
_space_group_symop_operation_xyz
'x,y,z'
'-x,-y,-z'
'-x,-y,z'
'x,y,-z'
'x,-y,-z'
'-x,y,z'
'-x,y,-z'
'x,-y,z'
loop_
_atom_site_label
_atom_site_fract_x
_atom_site_fract_y
_atom_site_fract_z
Fe1 0.0000 0.0000 0.0000
Fe2 0.5000 0.5000 0.0000
Si1 0.0000 0.5000 0.5000
Mo1 0.5000 0.0000 0.5000


The lowest electronic total energy belongs to which entry?
LaPW2


Repeat the fourth record exactly.
# NiB2Te (SCAN, single point on PBEsol structure)
# **Formation energy (no corrections)**: 0.49 eV/atom
# **Electronic total energy**: -265.36 eV per cell
data_NiB2Te
_space_group_name_H-M_alt 'I -4 2 d'
_space_group_IT_number 122
_space_group_name_Hall 'I -4 2bw'
_cell_length_a 3.7859
_cell_length_b 3.7859
_cell_length_c 13.9537
_cell_angle_alpha 90.00
_cell_angle_beta 90.00
_cell_angle_gamma 90.00
loop_
_atom_site_label
_atom_site_fract_x
_atom_site_fract_y
_atom_site_fract_z
Ni1 0.0000 0.0000 0.0000
B1 0.0471 0.2500 0.1250
Te1 0.0000 0.0000 0.5000